Record 1
Computed, not measured: Er2In3Hg after structural relaxation at the PBE-GGA level of DFT.

V: 297 Å³/cell
ΔE_f: -0.369 eV/atom
total energy: -3.31 eV/atom

Lattice parameters (Å, degrees): 6.061 6.061 9.920 114.11 114.11 70.30
Atoms (fractional coordinates):
Er  0.750  0.250  0.500
Er  0.748  0.252  0.000
Er  0.250  0.750  0.500
Er  0.252  0.748  0.000
In  0.833  0.833  0.168
In  0.665  0.665  0.832
In  0.167  0.167  0.832
In  0.335  0.335  0.168
In  0.168  0.168  0.336
In  0.832  0.832  0.664
Hg  0.667  0.667  0.333
Hg  0.333  0.333  0.667

***

Record 2
Computed, not measured: TlBrO2 after structural relaxation at the PBE-GGA level of DFT.

E above lowest polymorph: 0.1153 eV per atom
V: 155 Å³/cell
total energy: -3.72 eV/atom
raw formation energy: -229 meV/atom

Lattice parameters (Å, degrees): 18.420 6.760 6.760 123.53 149.23 30.77
Atoms (fractional coordinates):
Tl  0.254  0.244  0.256
Tl  0.754  0.244  0.256
O  0.199  0.152  0.348
O  0.699  0.152  0.348
O  0.310  0.336  0.164
O  0.810  0.336  0.164
Br  0.254  0.744  0.756
Br  0.754  0.744  0.756

***

Record 3
Computed, not measured: Sm2Dy3Sb2 after structural relaxation at the PBE-GGA level of DFT.

V: 212 Å³/cell
total energy: -5.15 eV/atom
raw formation energy: -648 meV/atom

Lattice parameters (Å, degrees): 4.287 6.458 8.608 108.31 90.00 109.38
Atoms (fractional coordinates):
Sm  0.866  0.732  0.209
Sm  0.134  0.268  0.791
Dy  0.500  0.000  0.000
Dy  0.626  0.252  0.447
Dy  0.374  0.748  0.553
Sb  0.829  0.658  0.801
Sb  0.171  0.342  0.199

***

Record 4
Computed, not measured: LiPmZnPd3 after structural relaxation at the PBE-GGA level of DFT.

V: 216 Å³/cell
ΔE_f: -0.492 eV/atom
total energy: -4.41 eV/atom

Lattice parameters (Å, degrees): 5.847 5.768 7.022 114.25 90.00 90.00
Atoms (fractional coordinates):
Li  0.250  0.894  0.788
Li  0.750  0.106  0.212
Pm  0.750  0.328  0.657
Pm  0.250  0.672  0.343
Zn  0.250  0.370  0.741
Zn  0.750  0.630  0.259
Pd  0.250  0.169  0.337
Pd  0.000  0.251  0.000
Pd  0.500  0.749  0.000
Pd  0.500  0.251  0.000
Pd  0.000  0.749  0.000
Pd  0.750  0.831  0.663

***

Record 5
Computed, not measured: ThZrCd2 after structural relaxation at the PBE-GGA level of DFT.

E above lowest polymorph: 0.0502 eV per atom
V: 99 Å³/cell
ΔE_f: -0.034 eV/atom
total energy: -4.48 eV/atom

Lattice parameters (Å, degrees): 4.756 4.563 4.563 90.00 90.00 90.00
Atoms (fractional coordinates):
Zr  0.500  0.500  0.500
Th  0.500  0.000  0.000
Cd  0.000  0.000  0.500
Cd  0.000  0.500  0.000

***

Record 6
Computed, not measured: TcW2N after structural relaxation at the PBE-GGA level of DFT.

E above lowest polymorph: 0.5381 eV per atom
V: 133 Å³/cell
total energy: -10.61 eV/atom
raw formation energy: 543 meV/atom

Lattice parameters (Å, degrees): 5.080 5.080 6.285 66.16 66.16 90.00
Atoms (fractional coordinates):
Tc  0.000  0.000  0.000
Tc  0.750  0.250  0.500
W  0.537  0.125  0.250
W  0.213  0.625  0.250
W  0.375  0.463  0.750
W  0.875  0.787  0.750
N  0.500  0.500  0.000
N  0.250  0.750  0.500

***

Record 7
Computed, not measured: LiZr2Fe2 after structural relaxation at the PBE-GGA level of DFT.

V: 165 Å³/cell
ΔE_f: 0.078 eV/atom
total energy: -7.11 eV/atom

Lattice parameters (Å, degrees): 7.166 7.166 3.210 90.00 90.00 90.00
Atoms (fractional coordinates):
Fe  0.366  0.866  0.000
Fe  0.866  0.634  0.000
Fe  0.634  0.134  0.000
Fe  0.134  0.366  0.000
Zr  0.162  0.662  0.500
Zr  0.662  0.838  0.500
Zr  0.838  0.338  0.500
Zr  0.338  0.162  0.500
Li  0.000  0.000  0.000
Li  0.500  0.500  0.000

***

Record 8
Computed, not measured: BeHgAs3 after structural relaxation at the PBE-GGA level of DFT.

E above lowest polymorph: 1.0210 eV per atom
V: 139 Å³/cell
ΔE_f: 1.561 eV/atom
total energy: -2.03 eV/atom

Lattice parameters (Å, degrees): 5.174 5.174 5.174 90.00 90.00 90.00
Atoms (fractional coordinates):
Be  0.500  0.500  0.500
As  0.000  0.500  0.000
As  0.000  0.000  0.500
As  0.500  0.000  0.000
Hg  0.000  0.000  0.000

***

Record 9
Computed, not measured: CuSi2Ru after structural relaxation at the PBE-GGA level of DFT.

E above lowest polymorph: 0.1250 eV per atom
V: 53 Å³/cell
total energy: -6.21 eV/atom
raw formation energy: -158 meV/atom

Lattice parameters (Å, degrees): 4.208 4.208 4.648 80.40 80.40 40.95
Atoms (fractional coordinates):
Cu  0.750  0.750  0.750
Ru  0.250  0.250  0.250
Si  0.992  0.992  0.017
Si  0.508  0.508  0.483

***

Record 10
Computed, not measured: TaRu4Pt after structural relaxation at the PBE-GGA level of DFT.

V: 92 Å³/cell
ΔE_f: 0.153 eV/atom
total energy: -9.01 eV/atom

Lattice parameters (Å, degrees): 5.076 5.076 5.076 60.00 60.00 60.00
Atoms (fractional coordinates):
Ta  0.250  0.250  0.250
Ru  0.626  0.626  0.626
Ru  0.626  0.626  0.122
Ru  0.626  0.122  0.626
Ru  0.122  0.626  0.626
Pt  0.000  0.000  0.000

***

Record 11
Computed, not measured: AlCI2 after structural relaxation at the PBE-GGA level of DFT.

E above lowest polymorph: 0.2794 eV per atom
V: 92 Å³/cell
total energy: -2.32 eV/atom
raw formation energy: 1701 meV/atom

Lattice parameters (Å, degrees): 5.067 5.067 5.067 60.00 60.00 60.00
Atoms (fractional coordinates):
I  0.250  0.250  0.250
I  0.750  0.750  0.750
C  0.000  0.000  0.000
Al  0.500  0.500  0.500

***

| no. | DOS(E_F) (states/eV per atom) |
| --- | --- |
| 1 | 0.563 |
| 2 | 0.000 |
| 3 | 1.208 |
| 4 | 0.470 |
| 5 | 0.949 |
| 6 | 0.398 |
| 7 | 1.058 |
| 8 | 1.311 |
| 9 | 0.530 |
| 10 | 1.753 |
| 11 | 0.794 |